{"formula": "CePu2Tc", "functional": "PBE", "state": "optimized geometry", "volume_a3_per_atom": 21.8, "energy_ev_per_atom": -11.181, "total_magnetization_mub_per_atom": 2.906, "delta_e_f_mev_per_atom": 60, "n_ef_per_ev_atom": 3.031, "lattice_angstrom": [[0.000, 3.520, 3.520], [3.520, 0.000, 3.520], [3.520, 3.520, 0.000]], "species": ["Ce", "Pu", "Pu", "Tc"], "frac_coords": [[0.000, 0.000, 0.000], [0.250, 0.250, 0.250], [0.750, 0.750, 0.750], [0.500, 0.500, 0.500]]}